Arrangement P

DFT (PBE-GGA) results for Sm2Te3F after structural relaxation.

DOS(E_F)	0.444	states/eV/atom
spin magnetization	0.0	Bohr magnetons per cell

POSCAR file:
```
Sm2Te3F
1.0
4.223 0.000 0.000
0.000 13.205 0.000
0.000 0.000 11.862
Sm Te F
8 12 4
direct
0.250 0.674 0.442
0.750 0.326 0.558
0.750 0.174 0.058
0.250 0.826 0.942
0.250 0.021 0.304
0.750 0.979 0.696
0.750 0.521 0.196
0.250 0.479 0.804
0.250 0.378 0.069
0.750 0.622 0.931
0.750 0.878 0.431
0.250 0.122 0.569
0.250 0.695 0.169
0.750 0.305 0.831
0.750 0.195 0.331
0.250 0.805 0.669
0.250 0.434 0.379
0.750 0.566 0.621
0.750 0.934 0.121
0.250 0.066 0.879
0.250 0.129 0.136
0.750 0.871 0.864
0.750 0.629 0.364
0.250 0.371 0.636
```

Arrangement Q

DFT (PBE-GGA) results for Sm2Te3F after structural relaxation.

DOS(E_F)	0.636	states/eV/atom
spin magnetization	0.0	Bohr magnetons per cell

POSCAR file:
```
Sm2Te3F
1.0
-3.296 -2.525 -1.990
-4.626 -3.213 6.410
-8.940 6.200 1.616
Sm Te F
4 6 2
direct
0.853 0.472 0.822
0.147 0.528 0.178
0.599 0.249 0.554
0.401 0.751 0.446
0.057 0.128 0.759
0.943 0.872 0.241
0.643 0.707 0.006
0.357 0.293 0.994
0.772 0.833 0.622
0.228 0.167 0.378
0.441 0.494 0.623
0.559 0.506 0.377
```

How do the energies compare? Relative to the most stable structure, in meV per atom: arrangement P 0; arrangement Q 119.

Arrangement P

DFT (PBE-GGA) results for SmTlF4 after structural relaxation.

DOS(E_F)	0.000	states/eV/atom
spin magnetization	0.0	Bohr magnetons per cell

POSCAR file:
```
SmTlF4
1.0
-0.082 2.641 2.985
-3.984 0.037 -0.143
-0.206 -5.008 4.426
Sm Tl F
1 1 4
direct
0.500 0.500 0.500
0.000 0.000 0.000
0.500 0.000 0.693
0.000 0.500 0.693
0.500 0.000 0.307
0.000 0.500 0.307
```

Arrangement Q

DFT (PBE-GGA) results for SmTlF4 after structural relaxation.

DOS(E_F)	0.000	states/eV/atom
spin magnetization	0.0	Bohr magnetons per cell

POSCAR file:
```
SmTlF4
1.0
-1.265 2.741 2.194
2.422 -2.885 5.000
14.431 8.384 -2.152
Sm Tl F
4 4 16
direct
0.750 0.247 0.445
0.250 0.753 0.555
0.250 0.253 0.945
0.750 0.747 0.055
0.750 0.788 0.800
0.250 0.212 0.200
0.250 0.712 0.300
0.750 0.288 0.700
0.750 0.891 0.624
0.250 0.109 0.376
0.250 0.609 0.124
0.750 0.391 0.876
0.750 0.867 0.468
0.250 0.133 0.532
0.250 0.633 0.968
0.750 0.367 0.032
0.750 0.995 0.947
0.250 0.005 0.053
0.250 0.505 0.447
0.750 0.495 0.553
0.750 0.910 0.177
0.250 0.090 0.823
0.250 0.590 0.677
0.750 0.410 0.323
```

How do the energies compare? Relative to the most stable structure, in meV per atom: arrangement P 18; arrangement Q 0.

Arrangement P

DFT (PBE-GGA) results for SmTmF6 after structural relaxation.

DOS(E_F)	0.000	states/eV/atom
spin magnetization	0.0	Bohr magnetons per cell

POSCAR file:
```
SmTmF6
1.0
-3.369 4.012 2.725
-5.128 1.678 -2.405
-5.303 -1.933 2.696
Sm Tm F
1 1 6
direct
0.000 0.000 0.000
0.500 0.500 0.500
0.177 0.335 0.743
0.744 0.177 0.743
0.665 0.256 0.257
0.256 0.823 0.257
0.823 0.665 0.257
0.335 0.744 0.743
```

Arrangement Q

DFT (PBE-GGA) results for SmTmF6 after structural relaxation.

DOS(E_F)	0.000	states/eV/atom
spin magnetization	0.0	Bohr magnetons per cell

POSCAR file:
```
SmTmF6
1.0
5.947 -0.428 0.220
-0.151 3.994 1.912
0.180 -0.334 4.414
Sm Tm F
1 1 6
direct
0.500 0.234 0.234
0.000 0.915 0.915
0.672 0.738 0.246
0.328 0.246 0.738
0.127 0.951 0.397
0.273 0.625 0.060
0.727 0.060 0.625
0.873 0.397 0.951
```

How do the energies compare? Relative to the most stable structure, in meV per atom: arrangement P 0; arrangement Q 26.

Arrangement P

DFT (PBE-GGA) results for Sr3SnF after structural relaxation.

DOS(E_F)	0.237	states/eV/atom
spin magnetization	3.8	Bohr magnetons per cell

POSCAR file:
```
Sr3SnF
1.0
-2.735 3.327 -5.908
-5.491 -7.026 -1.414
-5.609 5.354 5.611
Sr Sn F
12 4 4
direct
0.998 0.699 0.553
0.002 0.301 0.447
0.498 0.801 0.947
0.502 0.199 0.053
0.503 0.699 0.552
0.497 0.301 0.448
0.003 0.801 0.948
0.997 0.199 0.052
0.250 0.575 0.189
0.750 0.425 0.811
0.750 0.925 0.311
0.250 0.075 0.689
0.750 0.034 0.694
0.250 0.966 0.306
0.250 0.466 0.806
0.750 0.534 0.194
0.250 0.523 0.436
0.750 0.477 0.564
0.750 0.977 0.064
0.250 0.023 0.936
```

Arrangement Q

DFT (PBE-GGA) results for Sr3SnF after structural relaxation.

DOS(E_F)	0.857	states/eV/atom
spin magnetization	0.0	Bohr magnetons per cell

POSCAR file:
```
Sr3SnF
1.0
-3.486 -1.957 -3.472
3.710 0.091 -3.777
1.455 -4.919 1.311
Sr Sn F
3 1 1
direct
0.000 0.500 0.000
0.000 0.000 0.500
0.500 0.000 0.000
0.500 0.500 0.500
0.000 0.000 0.000
```

How do the energies compare? Relative to the most stable structure, in meV per atom: arrangement P 0; arrangement Q 51.

Arrangement P

DFT (PBE-GGA) results for Sr2SnF after structural relaxation.

DOS(E_F)	0.928	states/eV/atom
spin magnetization	0.8	Bohr magnetons per cell

POSCAR file:
```
Sr2SnF
1.0
3.918 0.000 0.000
1.959 3.393 0.000
1.959 1.131 9.741
Sr Sn F
2 1 1
direct
0.111 0.111 0.667
0.889 0.889 0.333
0.000 0.000 0.000
0.500 0.500 0.500
```

Arrangement Q

DFT (PBE-GGA) results for Sr2SnF after structural relaxation.

DOS(E_F)	0.639	states/eV/atom
spin magnetization	1.8	Bohr magnetons per cell

POSCAR file:
```
Sr2SnF
1.0
-2.171 -5.092 5.320
7.326 -2.057 1.020
2.983 -0.671 6.114
Sr Sn F
4 2 2
direct
0.537 0.125 0.250
0.213 0.625 0.250
0.375 0.463 0.750
0.875 0.787 0.750
0.000 0.000 0.000
0.750 0.250 0.500
0.500 0.500 0.000
0.250 0.750 0.500
```

How do the energies compare? Relative to the most stable structure, in meV per atom: arrangement P 518; arrangement Q 0.

Arrangement P

DFT (PBE-GGA) results for Sr2SnF after structural relaxation.

DOS(E_F)	1.213	states/eV/atom
spin magnetization	1.0	Bohr magnetons per cell

POSCAR file:
```
Sr2SnF
1.0
0.000 3.924 3.924
3.924 0.000 3.924
3.924 3.924 0.000
Sr Sn F
2 1 1
direct
0.250 0.250 0.250
0.750 0.750 0.750
0.500 0.500 0.500
0.000 0.000 0.000
```

Arrangement Q

DFT (PBE-GGA) results for Sr2SnF after structural relaxation.

DOS(E_F)	0.098	states/eV/atom
spin magnetization	0.0	Bohr magnetons per cell

POSCAR file:
```
Sr2SnF
1.0
-1.674 -0.105 -6.341
-1.258 -6.567 0.440
-10.400 3.227 2.692
Sr Sn F
8 4 4
direct
0.757 0.918 0.918
0.243 0.082 0.082
0.757 0.582 0.582
0.243 0.418 0.418
0.795 0.467 0.152
0.205 0.533 0.848
0.795 0.033 0.348
0.205 0.967 0.652
0.305 0.896 0.361
0.695 0.104 0.639
0.305 0.604 0.139
0.695 0.396 0.861
0.129 0.597 0.630
0.871 0.403 0.370
0.129 0.903 0.870
0.871 0.097 0.130
```

How do the energies compare? Relative to the most stable structure, in meV per atom: arrangement P 447; arrangement Q 0.

Arrangement P

DFT (PBE-GGA) results for SrSn2F6 after structural relaxation.

DOS(E_F)	0.000	states/eV/atom
spin magnetization	0.0	Bohr magnetons per cell

POSCAR file:
```
SrSn2F6
1.0
-3.610 -0.636 7.141
-5.186 -4.903 0.506
2.141 -5.409 4.165
Sr Sn F
2 4 12
direct
0.250 0.131 0.869
0.750 0.869 0.131
0.230 0.745 0.595
0.270 0.405 0.255
0.770 0.255 0.405
0.730 0.595 0.745
0.463 0.811 0.614
0.037 0.386 0.189
0.537 0.189 0.386
0.963 0.614 0.811
0.873 0.730 0.431
0.627 0.569 0.270
0.127 0.270 0.569
0.373 0.431 0.730
0.101 0.850 0.891
0.399 0.109 0.150
0.899 0.150 0.109
0.601 0.891 0.850
```

Arrangement Q

DFT (PBE-GGA) results for SrSn2F6 after structural relaxation.

DOS(E_F)	0.000	states/eV/atom
spin magnetization	0.0	Bohr magnetons per cell

POSCAR file:
```
SrSn2F6
1.0
5.652 -0.096 -0.093
1.434 7.585 -0.962
1.434 -0.715 7.612
Sr Sn F
2 4 12
direct
0.250 0.130 0.870
0.750 0.870 0.130
0.415 0.571 0.792
0.085 0.208 0.429
0.585 0.429 0.208
0.915 0.792 0.571
0.611 0.825 0.451
0.889 0.549 0.175
0.389 0.175 0.549
0.111 0.451 0.825
0.040 0.933 0.334
0.460 0.666 0.067
0.960 0.067 0.666
0.540 0.334 0.933
0.132 0.821 0.887
0.368 0.113 0.179
0.868 0.179 0.113
0.632 0.887 0.821
```

How do the energies compare? Relative to the most stable structure, in meV per atom: arrangement P 0; arrangement Q 13.

Arrangement P

DFT (PBE-GGA) results for SrSn2F after structural relaxation.

DOS(E_F)	0.433	states/eV/atom
spin magnetization	0.0	Bohr magnetons per cell

POSCAR file:
```
SrSn2F
1.0
5.784 0.000 0.000
0.000 5.784 0.000
2.892 2.892 7.919
Sr Sn F
2 4 2
direct
0.000 0.000 0.000
0.750 0.250 0.500
0.419 0.125 0.250
0.331 0.625 0.250
0.375 0.581 0.750
0.875 0.669 0.750
0.500 0.500 0.000
0.250 0.750 0.500
```

Arrangement Q

DFT (PBE-GGA) results for SrSn2F after structural relaxation.

DOS(E_F)	0.960	states/eV/atom
spin magnetization	0.0	Bohr magnetons per cell

POSCAR file:
```
SrSn2F
1.0
0.000 3.769 3.769
3.769 0.000 3.769
3.769 3.769 0.000
Sr Sn F
1 2 1
direct
0.500 0.500 0.500
0.250 0.250 0.250
0.750 0.750 0.750
0.000 0.000 0.000
```

How do the energies compare? Relative to the most stable structure, in meV per atom: arrangement P 0; arrangement Q 248.

Arrangement P

DFT (PBE-GGA) results for Sr4Sn2F after structural relaxation.

DOS(E_F)	0.689	states/eV/atom
spin magnetization	0.0	Bohr magnetons per cell

POSCAR file:
```
Sr4Sn2F
1.0
5.042 0.000 0.000
0.000 5.042 0.000
-2.521 -2.521 9.185
Sr Sn F
4 2 1
direct
0.818 0.818 0.636
0.182 0.182 0.364
0.000 0.500 0.000
0.500 0.000 0.000
0.631 0.631 0.263
0.369 0.369 0.737
0.000 0.000 0.000
```

Arrangement Q

DFT (PBE-GGA) results for Sr4Sn2F after structural relaxation.

DOS(E_F)	0.475	states/eV/atom
spin magnetization	0.0	Bohr magnetons per cell

POSCAR file:
```
Sr4Sn2F
1.0
-7.342 -1.540 0.751
0.919 -0.730 7.487
0.962 9.016 0.761
Sr Sn F
8 4 2
direct
0.501 0.509 0.258
0.103 0.750 0.923
0.897 0.250 0.077
0.501 0.991 0.258
0.934 0.250 0.631
0.499 0.009 0.742
0.499 0.491 0.742
0.066 0.750 0.369
0.719 0.750 0.042
0.281 0.250 0.958
0.235 0.250 0.424
0.765 0.750 0.576
0.275 0.750 0.203
0.725 0.250 0.797
```

How do the energies compare? Relative to the most stable structure, in meV per atom: arrangement P 0; arrangement Q 18.

Arrangement P

DFT (PBE-GGA) results for TaZnSn2F after structural relaxation.

DOS(E_F)	0.916	states/eV/atom
spin magnetization	0.4	Bohr magnetons per cell

POSCAR file:
```
TaZnSn2F
1.0
-3.415 -0.578 3.799
0.390 -4.035 -0.264
3.811 0.142 3.447
Zn F Sn Ta
1 1 2 1
direct
0.500 0.500 0.500
0.000 0.000 0.000
0.000 0.000 0.500
0.500 0.000 0.000
0.000 0.500 0.000
```

Arrangement Q

DFT (PBE-GGA) results for TaZnSn2F after structural relaxation.

DOS(E_F)	0.942	states/eV/atom
spin magnetization	0.5	Bohr magnetons per cell

POSCAR file:
```
TaZnSn2F
1.0
-2.183 4.496 0.569
-3.399 -1.224 -3.371
-2.927 -1.880 3.634
Zn F Sn Ta
1 1 2 1
direct
0.000 0.000 0.000
0.500 0.500 0.500
0.000 0.000 0.500
0.500 0.000 0.000
0.000 0.500 0.000
```

How do the energies compare? Relative to the most stable structure, in meV per atom: arrangement P 0; arrangement Q 619.

Arrangement P

DFT (PBE-GGA) results for TcSn2F after structural relaxation.

DOS(E_F)	1.510	states/eV/atom
spin magnetization	1.9	Bohr magnetons per cell

POSCAR file:
```
TcSn2F
1.0
-1.618 3.237 3.035
0.242 4.589 -1.090
-3.944 2.403 -0.991
F Sn Tc
1 2 1
direct
0.000 0.000 0.000
0.250 0.250 0.250
0.750 0.750 0.750
0.500 0.500 0.500
```

Arrangement Q

DFT (PBE-GGA) results for TcSn2F after structural relaxation.

DOS(E_F)	0.001	states/eV/atom
spin magnetization	0.0	Bohr magnetons per cell

POSCAR file:
```
TcSn2F
1.0
-5.000 -4.437 -0.516
3.941 -4.018 -3.644
0.517 -5.731 0.709
F Sn Tc
2 4 2
direct
0.500 0.500 0.000
0.250 0.750 0.500
0.586 0.125 0.250
0.164 0.625 0.250
0.375 0.414 0.750
0.875 0.836 0.750
0.000 0.000 0.000
0.750 0.250 0.500
```

How do the energies compare? Relative to the most stable structure, in meV per atom: arrangement P 38; arrangement Q 0.